(1)
This record from Alexandria via LeMat-Bulk describes a geometry-optimized VSnP2 structure. The functional is PBE.

POSCAR file:
```
VSnP2
1.0
-2.8615 2.8615 5.7590
2.8615 -2.8615 5.7590
2.8615 2.8615 -5.7590
V Sn P
2 2 4
direct
0.0000 0.0000 0.0000 V
0.7500 0.2500 0.5000 V
0.2500 0.7500 0.5000 Sn
0.5000 0.5000 0.0000 Sn
0.0753 0.6250 0.9503 P
0.3750 0.3253 0.4503 P
0.6747 0.1250 0.0497 P
0.8750 0.9247 0.5497 P
```

Results
SG	I-42d, No. 122


(2)
This record from Alexandria via LeMat-Bulk describes a geometry-optimized VSn2P structure. The functional is PBE.

POSCAR file:
```
VSn2P
1.0
-3.8303 3.8303 2.9563
3.8303 -3.8303 2.9563
3.8303 3.8303 -2.9563
V Sn P
2 4 2
direct
0.0000 0.0000 0.0000 V
0.7500 0.2500 0.5000 V
0.1424 0.6250 0.0174 Sn
0.3750 0.3924 0.5174 Sn
0.6076 0.1250 0.9826 Sn
0.8750 0.8576 0.4826 Sn
0.2500 0.7500 0.5000 P
0.5000 0.5000 0.0000 P
```

Results
SG	I-42d, No. 122


(3)
This record from Alexandria via LeMat-Bulk describes a geometry-optimized VSnP3 structure. The functional is PBE.

POSCAR file:
```
VSnP3
1.0
4.9638 0.0000 0.0000
0.0000 4.9638 0.0000
0.0000 0.0000 4.9638
V Sn P
1 1 3
direct
0.0000 0.0000 0.0000 V
0.5000 0.5000 0.5000 Sn
0.0000 0.5000 0.5000 P
0.5000 0.0000 0.5000 P
0.5000 0.5000 0.0000 P
```

Results
energy above the most stable polymorph in this dataset	1155	meV per atom
SG	Pm-3m, No. 221


(4)
This record from Alexandria via LeMat-Bulk describes a geometry-optimized V3SnP structure. The functional is PBE.

POSCAR file:
```
V3SnP
1.0
4.3866 0.0000 0.0000
0.0000 4.3866 0.0000
0.0000 0.0000 4.3866
V Sn P
3 1 1
direct
0.0000 0.0000 0.5000 V
0.0000 0.5000 0.0000 V
0.5000 0.0000 0.0000 V
0.5000 0.5000 0.5000 Sn
0.0000 0.0000 0.0000 P
```

Results
energy above the most stable polymorph in this dataset	0	meV per atom
SG	Pm-3m, No. 221


| no. | energy relative to the elements (eV per atom) |
| --- | --- |
| 1 | -0.0022 |
| 2 | 0.4089 |
| 3 | 1.3809 |
| 4 | 0.0579 |